Entry from Alexandria: an optimized crystal structure of Li17Co3O12 (GGA+U).

As for the magnetic moment: 1.95 μB per formula unit. The total energy comes out at -5.038 eV per atom. Its space group is P2_1, No. 4.

a b c (Å): 6.587 8.084 11.440
angles (deg): 90.40 90.00 90.00
Positions (direct):
1 Li 0.470 0.554 0.908
2 Li 0.466 0.898 0.575
3 Li 0.458 0.219 0.235
4 Li 0.470 0.938 0.089
5 Li 0.467 0.601 0.436
6 Li 0.248 0.764 0.980
7 Li 0.226 0.620 0.158
8 Li 0.275 0.116 0.658
9 Li 0.257 0.440 0.314
10 Li 0.253 0.936 0.816
11 Li 0.251 0.265 0.476
12 Li 0.014 0.555 0.903
13 Li 0.040 0.909 0.577
14 Li 0.037 0.232 0.236
15 Li 0.029 0.919 0.102
16 Li 0.031 0.272 0.760
17 Li 0.033 0.623 0.413
18 Li 0.970 0.446 0.092
19 Li 0.970 0.062 0.911
20 Li 0.958 0.781 0.765
21 Li 0.967 0.399 0.564
22 Li 0.966 0.102 0.425
23 Li 0.748 0.236 0.020
24 Li 0.775 0.884 0.342
25 Li 0.757 0.560 0.686
26 Li 0.726 0.380 0.842
27 Li 0.751 0.735 0.524
28 Li 0.753 0.064 0.184
29 Li 0.529 0.081 0.898
30 Li 0.514 0.445 0.097
31 Li 0.537 0.768 0.764
32 Li 0.533 0.377 0.587
33 Li 0.540 0.091 0.423
34 Li 0.531 0.728 0.240
35 Co 0.246 0.249 0.000
36 Co 0.248 0.582 0.667
37 Co 0.247 0.914 0.332
38 Co 0.746 0.751 0.000
39 Co 0.747 0.086 0.668
40 Co 0.748 0.418 0.333
41 O 0.480 0.682 0.071
42 O 0.494 0.996 0.734
43 O 0.499 0.342 0.403
44 O 0.245 0.358 0.161
45 O 0.247 0.001 0.982
46 O 0.248 0.681 0.815
47 O 0.256 0.028 0.493
48 O 0.239 0.356 0.636
49 O 0.272 0.671 0.325
50 O 0.013 0.676 0.055
51 O 0.019 0.017 0.738
52 O 0.006 0.352 0.397
53 O 0.994 0.004 0.266
54 O 0.980 0.318 0.929
55 O 0.999 0.658 0.597
56 O 0.747 0.999 0.018
57 O 0.739 0.644 0.364
58 O 0.772 0.329 0.675
59 O 0.745 0.642 0.839
60 O 0.756 0.972 0.507
61 O 0.748 0.319 0.185
62 O 0.513 0.324 0.945
63 O 0.519 0.983 0.262
64 O 0.506 0.648 0.603